Entry 1:
# ReS2 (GGA-PBE, relaxed)
# - Formation energy without anion corrections: -570.8 meV/atom
data_ReS2
_symmetry_space_group_name_H-M 'P -1'
_symmetry_Int_Tables_number 2
_cell_length_a 6.419
_cell_length_b 6.519
_cell_length_c 7.086
_cell_angle_alpha 91.83
_cell_angle_beta 103.92
_cell_angle_gamma 118.84
loop_
_symmetry_equiv_pos_as_xyz
'x,y,z'
'-x,-y,-z'
loop_
_atom_site_label
_atom_site_fract_x
_atom_site_fract_y
_atom_site_fract_z
_atom_site_occupancy
Re1 0.013 0.214 0.002 1
Re2 0.442 0.189 0.008 1
S1 0.231 0.847 0.768 1
S2 0.241 0.113 0.258 1
S3 0.248 0.633 0.175 1
S4 0.280 0.392 0.800 1

***

Entry 2:
# NaMg2Hg (GGA-PBE, relaxed)
# - Energy: -5.1 eV/cell
data_NaMg2Hg
_symmetry_space_group_name_H-M 'P 4/m m m'
_symmetry_Int_Tables_number 123
_symmetry_space_group_name_Hall '-P 4 2'
_cell_length_a 4.563
_cell_length_b 4.563
_cell_length_c 4.504
_cell_angle_alpha 90.00
_cell_angle_beta 90.00
_cell_angle_gamma 90.00
loop_
_atom_site_label
_atom_site_fract_x
_atom_site_fract_y
_atom_site_fract_z
_atom_site_occupancy
Na1 0.000 0.000 0.000 1
Mg1 0.000 0.500 0.500 1
Hg1 0.500 0.500 0.000 1

***

Entry 3:
# KPt2Br (GGA-PBE, relaxed)
# - Formation energy without anion corrections: 564.8 meV/atom
# - Offset from the most stable computed form: 0.759 eV/atom
data_KPt2Br
_symmetry_space_group_name_H-M 'P 4/m m m'
_symmetry_Int_Tables_number 123
_symmetry_space_group_name_Hall '-P 4 2'
_cell_length_a 2.966
_cell_length_b 2.966
_cell_length_c 9.386
_cell_angle_alpha 90.00
_cell_angle_beta 90.00
_cell_angle_gamma 90.00
loop_
_atom_site_label
_atom_site_fract_x
_atom_site_fract_y
_atom_site_fract_z
_atom_site_occupancy
K1 0.000 0.000 0.000 1
Pt1 0.500 0.500 0.279 1
Br1 0.000 0.000 0.500 1

***

Entry 4:
# TmScCdCo (GGA-PBE, relaxed)
# - Offset from the most stable computed form: 0.000 eV/atom
data_TmScCdCo
_symmetry_space_group_name_H-M 'P 4 m m'
_symmetry_Int_Tables_number 99
_cell_length_a 3.289
_cell_length_b 3.289
_cell_length_c 7.399
_cell_angle_alpha 90.00
_cell_angle_beta 90.00
_cell_angle_gamma 90.00
loop_
_symmetry_equiv_pos_as_xyz
'x,y,z'
'-y,x,z'
'-x,-y,z'
'y,-x,z'
'-x,y,z'
'y,x,z'
'x,-y,z'
'-y,-x,z'
loop_
_atom_site_label
_atom_site_fract_x
_atom_site_fract_y
_atom_site_fract_z
_atom_site_occupancy
Tm1 0.000 0.000 0.000 1
Sc1 0.000 0.000 0.578 1
Cd1 0.500 0.500 0.305 1
Co1 0.500 0.500 0.772 1

***

Entry 5:
# TbPr2NdDy4 (GGA-PBE, relaxed)
# - Energy: -37.2 eV/cell
data_TbPr2NdDy4
_symmetry_space_group_name_H-M 'P m m m'
_symmetry_Int_Tables_number 47
_cell_length_a 5.100
_cell_length_b 5.132
_cell_length_c 10.115
_cell_angle_alpha 90.00
_cell_angle_beta 90.00
_cell_angle_gamma 90.00
loop_
_symmetry_equiv_pos_as_xyz
'x,y,z'
'-x,-y,-z'
'-x,-y,z'
'x,y,-z'
'x,-y,-z'
'-x,y,z'
'-x,y,-z'
'x,-y,z'
loop_
_atom_site_label
_atom_site_fract_x
_atom_site_fract_y
_atom_site_fract_z
_atom_site_occupancy
Tb1 0.000 0.000 0.000 1
Pr1 0.000 0.000 0.500 1
Pr2 0.500 0.500 0.000 1
Nd1 0.500 0.500 0.500 1
Dy1 0.000 0.500 0.248 1
Dy2 0.500 0.000 0.248 1

***

Entry 6:
# Cu2PtSe (GGA-PBE, relaxed)
# - Formation energy without anion corrections: 191.2 meV/atom
data_Cu2PtSe
_symmetry_space_group_name_H-M 'R 3 m'
_symmetry_Int_Tables_number 160
_symmetry_space_group_name_Hall 'R 3 -2"'
_cell_length_a 2.9223
_cell_length_b 2.9223
_cell_length_c 24.3906
_cell_angle_alpha 90.00
_cell_angle_beta 90.00
_cell_angle_gamma 120.00
loop_
_atom_site_label
_atom_site_fract_x
_atom_site_fract_y
_atom_site_fract_z
_atom_site_occupancy
Cu1 0.0000 0.0000 0.0000 1
Cu2 0.0000 0.0000 0.2562 1
Pt1 0.0000 0.0000 0.7508 1
Se1 0.0000 0.0000 0.5062 1

***

What is the formula in the second record? NaMg2Hg

***

What is the formula in the sixth record? Cu2PtSe